(1)
# BaZn2Cd GGA-PBEsol relaxed
# uncorrected energy: -1.79 eV/atom
# volume: 104 Å³ per cell
# calculated formation energy: -164 meV per atom
data_BaZn2Cd
_cell_length_a 4.4715
_cell_length_b 4.4715
_cell_length_c 6.5109
_cell_angle_alpha 69.92
_cell_angle_beta 69.92
_cell_angle_gamma 60.00
_symmetry_space_group_name_H-M 'P 1'
_symmetry_Int_Tables_number 1
loop_
_symmetry_equiv_pos_as_xyz
'x,y,z'
loop_
_atom_site_label
_atom_site_type_symbol
_atom_site_fract_x
_atom_site_fract_y
_atom_site_fract_z
Zn1 Zn 0.3072 0.3072 0.0784
Zn2 Zn 0.9827 0.9827 0.0518
Cd1 Cd 0.7017 0.7017 0.8949
Ba1 Ba 0.5054 0.5054 0.4839

(2)
# KSbF4 GGA-PBEsol relaxed
# uncorrected energy: -4.82 eV/atom
# volume: 845 Å³ per cell
# ΔE_f (raw): -2.59 eV per atom
data_KSbF4
_cell_length_a 4.4706
_cell_length_b 11.6093
_cell_length_c 16.2752
_cell_angle_alpha 90.00
_cell_angle_beta 90.00
_cell_angle_gamma 90.00
_symmetry_space_group_name_H-M 'P 1'
_symmetry_Int_Tables_number 1
loop_
_symmetry_equiv_pos_as_xyz
'x,y,z'
loop_
_atom_site_label
_atom_site_type_symbol
_atom_site_fract_x
_atom_site_fract_y
_atom_site_fract_z
F1 F 0.0379 0.0000 0.7934
F2 F 0.5132 0.1184 0.7566
F3 F 0.0929 0.8676 0.4076
Sb1 Sb 0.0345 0.7516 0.5000
K1 K 0.0000 0.7500 0.7500
F4 F 0.0379 0.0000 0.2066
F5 F 0.2046 0.8493 0.9038
F6 F 0.4868 0.3816 0.2566
K2 K 0.4161 0.5000 0.8836
F7 F 0.5132 0.1184 0.2434
F8 F 0.0929 0.1324 0.5924
F9 F 0.0929 0.1324 0.4076
F10 F 0.5132 0.8816 0.2434
F11 F 0.5132 0.8816 0.7566
F12 F 0.0929 0.8676 0.5924
F13 F 0.9621 0.5000 0.2934
F14 F 0.7954 0.3493 0.5962
K3 K 0.5839 0.0000 0.6165
Sb2 Sb 0.0345 0.2484 0.5000
F15 F 0.3633 0.3279 0.0000
Sb3 Sb 0.5634 0.5000 0.3453
K4 K 0.0000 0.7500 0.2500
F16 F 0.9071 0.3676 0.9076
Sb4 Sb 0.9655 0.7484 0.0000
F17 F 0.2046 0.1507 0.9038
F18 F 0.7954 0.3493 0.4038
K5 K 0.5839 0.0000 0.3836
K6 K 0.0000 0.2500 0.2500
F19 F 0.7954 0.6507 0.4038
Sb5 Sb 0.9655 0.2516 0.0000
F20 F 0.3633 0.6721 0.0000
F21 F 0.4868 0.3816 0.7434
F22 F 0.6367 0.8279 0.5000
Sb6 Sb 0.5634 0.5000 0.6547
F23 F 0.9071 0.3676 0.0924
F24 F 0.4868 0.6184 0.7434
K7 K 0.0000 0.2500 0.7500
F25 F 0.9621 0.5000 0.7066
Sb7 Sb 0.4366 0.0000 0.8453
F26 F 0.4868 0.6184 0.2566
F27 F 0.2046 0.8493 0.0962
F28 F 0.7954 0.6507 0.5962
K8 K 0.4161 0.5000 0.1164
F29 F 0.2046 0.1507 0.0962
F30 F 0.9071 0.6324 0.9076
Sb8 Sb 0.4366 0.0000 0.1547
F31 F 0.6367 0.1721 0.5000
F32 F 0.9071 0.6324 0.0924

| no. | M_tot (μB per formula unit) |
| --- | --- |
| 1 | 0.0 |
| 2 | 0.0 |